The following is a PBE-GGA calculation of a relaxed structure of K2HgAuCl6, from the Open Quantum Materials Database.

Calculated total energy ... -26.655 eV/cell
SG ... Fm-3m, No. 225
Volume ... 281.3 Å³ per cell

Cell lengths 7.3547, 7.3547, 7.3547 Å; angles 60.00, 60.00, 60.00 degrees
Sites, in units of the cell vectors:
K 0.2500 0.2500 0.2500
K 0.7500 0.7500 0.7500
Hg 0.0000 0.0000 0.0000
Au 0.5000 0.5000 0.5000
Cl 0.2540 0.2540 0.7460
Cl 0.2540 0.7460 0.2540
Cl 0.2540 0.7460 0.7460
Cl 0.7460 0.2540 0.2540
Cl 0.7460 0.2540 0.7460
Cl 0.7460 0.7460 0.2540